No. 1
Below is a PBEsol-optimized structure of Sm3Dy, with properties calculated at the meta-GGA SCAN level.

Cell lengths 4.983, 4.983, 4.983 Å; angles 90.00, 90.00, 90.00 degrees
Fractional positions:
Sm 0.000 0.500 0.500
Sm 0.500 0.000 0.500
Sm 0.500 0.500 0.000
Dy 0.000 0.000 0.000

Computed properties:
ΔE to the lowest computed polymorph = 0 meV per atom
energy = -45.27 eV/atom

No. 2
Below is a PBEsol-optimized structure of Sm3Dy, with properties calculated at the meta-GGA SCAN level.

Cell lengths 5.681, 7.127, 7.127 Å; angles 120.00, 90.00, 90.00 degrees
Fractional positions:
Sm 0.250 0.667 0.833
Sm 0.250 0.167 0.333
Sm 0.250 0.167 0.833
Sm 0.750 0.333 0.167
Sm 0.750 0.833 0.667
Sm 0.750 0.833 0.167
Dy 0.750 0.333 0.667
Dy 0.250 0.667 0.333

Computed properties:
ΔE to the lowest computed polymorph = 9 meV per atom
energy = -45.26 eV/atom

No. 3
Below is a PBEsol-optimized structure of DySn2, with properties calculated at the meta-GGA SCAN level.

Cell lengths 4.282, 4.364, 8.301 Å; angles 74.76, 90.00, 90.00 degrees
Fractional positions:
Dy 0.750 0.902 0.196
Dy 0.250 0.098 0.804
Sn 0.750 0.564 0.871
Sn 0.250 0.436 0.129
Sn 0.750 0.251 0.498
Sn 0.250 0.749 0.502

Computed properties:
energy = -40.55 eV/atom

Q: What is the energy in the third record?
A: -40.55 eV/atom

Q: Look up the energy of the second one.
A: -45.26 eV/atom

Q: Which formula does entry 1 have?
A: Sm3Dy

Q: Among the records above, which one has the lowest energy?
A: number 1